(1)
La4TlSnHg2 | PBE | optimized geometry

Calculated values
As for the size of the total moment: 0.0 μB per cell. For the volume, the calculation gives 245 Å³/cell. Its calculated formation energy is -0.558 eV per atom. The total energy comes out at -3.893 eV/atom.

Cell lengths 5.5669, 5.5669, 9.6883 Å; angles 73.30, 73.30, 60.00 degrees
Element x y z (fractional)
1 Hg 0.2567 0.2567 0.2300
2 La 0.8724 0.8724 0.3828
3 La 0.3782 0.3782 0.8653
4 Hg 0.7433 0.7433 0.7700
5 Tl 0.0000 0.0000 0.0000
6 La 0.6218 0.6218 0.1347
7 La 0.1276 0.1276 0.6172
8 Sn 0.5000 0.5000 0.5000

=====

(2)
AcAsClO4 | PBE | optimized geometry

Calculated values
As for the size of the total moment: 0.0 μB per cell. For the uncorrected formation energy, the calculation gives -13.6 eV/f.u. For the volume, the calculation gives 297 Å³/cell. The total energy comes out at -6.292 eV/atom.

Cell lengths 6.8351, 6.8351, 7.2844 Å; angles 81.57, 81.57, 62.26 degrees
Element x y z (fractional)
1 Cl 0.0266 0.0266 0.1230
2 O 0.7166 0.7166 0.5036
3 Ac 0.2948 0.2948 0.8253
4 Cl 0.9734 0.9734 0.8770
5 O 0.8790 0.5042 0.8548
6 Ac 0.7052 0.7052 0.1747
7 As 0.3525 0.3525 0.2716
8 O 0.1210 0.4958 0.1452
9 As 0.6475 0.6475 0.7284
10 O 0.5003 0.5003 0.7464
11 O 0.2834 0.2834 0.4964
12 O 0.5042 0.8790 0.8548
13 O 0.4997 0.4997 0.2536
14 O 0.4958 0.1210 0.1452

=====

(3)
ZnCo2Tc | PBE | optimized geometry

Calculated values
As for the size of the total moment: 1.1 μB per cell. For the volume, the calculation gives 49 Å³/cell. Its calculated formation energy is 0.104 eV per atom. The total energy comes out at -6.358 eV/atom.

Cell lengths 4.3945, 4.3945, 4.3945 Å; angles 129.94, 129.92, 73.51 degrees
Each line ends with the local moment (μB).
Element x y z (fractional)
1 Tc 0.7500 0.2500 0.5000  0.49
2 Co 0.0000 0.0000 0.0000  0.29
3 Zn 0.2500 0.7500 0.5000  0.00
4 Co 0.5000 0.5000 0.0000  0.29